No. 1
Here is SnHgTe2O8 after structural relaxation from Alexandria via LeMat-Bulk. Energies are from PBE.

a = 5.868 Å, b = 6.410 Å, c = 6.910 Å
α = 49.79°, β = 64.88°, γ = 62.76°
Fractional positions:
Te 0.722 0.755 0.801
Sn 0.000 0.000 0.000
Te 0.278 0.245 0.199
O 0.097 0.559 0.246
Hg 0.500 0.500 0.500
O 0.327 0.507 0.838
O 0.862 0.016 0.750
O 0.628 0.984 0.250
O 0.372 0.016 0.750
O 0.138 0.984 0.250
O 0.903 0.441 0.754
O 0.673 0.493 0.162

Output
V: 173 Å³ per cell
Electronic total energy: -59.62 eV/f.u.
Formation energy (no corrections): -0.7809 eV/atom

No. 2
Here is LiNdErCd after structural relaxation from Alexandria via LeMat-Bulk. Energies are from PBE.

a = 5.322 Å, b = 5.322 Å, c = 5.322 Å
α = 60.00°, β = 60.00°, γ = 60.00°
Fractional positions:
Li 0.250 0.250 0.250
Er 0.500 0.500 0.500
Nd 0.000 0.000 0.000
Cd 0.750 0.750 0.750

Output
Energy relative to the elements: -0.11 eV per atom
V: 107 Å³ per cell
Electronic total energy: -12.61 eV/f.u.

No. 3
Here is BaTcTe2 after structural relaxation from Alexandria via LeMat-Bulk. Energies are from PBE.

a = 5.522 Å, b = 4.573 Å, c = 5.524 Å
α = 90.00°, β = 90.00°, γ = 90.00°
Site moments in Bohr magnetons follow the coordinates.
Fractional positions:
Ba 0.000 0.507 0.375  0.03
Tc 0.500 0.982 0.875  2.77
Te 0.000 0.007 0.875  0.07
Te 0.500 0.004 0.375  0.07

Output
V: 139 Å³ per cell
Electronic total energy: -19.73 eV/f.u.
Formation energy (no corrections): -0.2904 eV/atom

No. 4
Here is Tb2CdAu4 after structural relaxation from Alexandria via LeMat-Bulk. Energies are from PBE.

a = 4.796 Å, b = 4.796 Å, c = 8.796 Å
α = 74.18°, β = 74.18°, γ = 60.00°
Fractional positions:
Au 0.131 0.131 0.607
Au 0.630 0.630 0.110
Tb 0.751 0.751 0.746
Cd 0.000 0.000 0.000
Tb 0.249 0.249 0.254
Au 0.869 0.869 0.393
Au 0.370 0.370 0.890

Output
Energy relative to the elements: -0.58 eV per atom
V: 166 Å³ per cell
Electronic total energy: -27.37 eV/f.u.

No. 5
Here is K2YBeB after structural relaxation from Alexandria via LeMat-Bulk. Energies are from PBE.

a = 5.959 Å, b = 4.892 Å, c = 5.959 Å
α = 90.00°, β = 90.00°, γ = 90.00°
Fractional positions:
Be 0.500 0.500 0.500
Y 0.000 0.500 0.000
K 0.500 0.000 0.000
B 0.000 0.000 0.000
K 0.000 0.000 0.500

Output
Energy relative to the elements: 1.13 eV per atom
V: 174 Å³ per cell
Electronic total energy: -13.41 eV/f.u.

No. 6
Here is ZrCrCl2 after structural relaxation from Alexandria via LeMat-Bulk. Energies are from PBE.

a = 4.811 Å, b = 4.811 Å, c = 4.811 Å
α = 60.00°, β = 60.00°, γ = 60.00°
Site moments in Bohr magnetons follow the coordinates.
Fractional positions:
Cl 0.000 0.000 0.000  0.10
Cl 0.250 0.250 0.250  0.07
Cr 0.500 0.500 0.500  3.60
Zr 0.750 0.750 0.750  -0.23

Output
V: 79 Å³ per cell
Electronic total energy: -20.84 eV/f.u.
Formation energy (no corrections): 0.2559 eV/atom

No. 7
Here is Ca2TlSb after structural relaxation from Alexandria via LeMat-Bulk. Energies are from PBE.

a = 4.458 Å, b = 4.458 Å, c = 6.466 Å
α = 90.00°, β = 90.00°, γ = 90.00°
Fractional positions:
Ca 0.500 0.500 0.310
Sb 0.000 0.000 0.453
Tl 0.500 0.500 0.789
Ca 0.000 0.000 0.948

Output
V: 128 Å³ per cell
Electronic total energy: -12.16 eV/f.u.
Formation energy (no corrections): -0.4174 eV/atom

No. 8
Here is La3Au2 after structural relaxation from Alexandria via LeMat-Bulk. Energies are from PBE.

a = 11.332 Å, b = 11.332 Å, c = 11.332 Å
α = 20.83°, β = 20.83°, γ = 20.83°
Fractional positions:
La 0.213 0.213 0.213
La 0.787 0.787 0.787
La 0.000 0.000 0.000
Au 0.607 0.607 0.607
Au 0.393 0.393 0.393

Output
Energy relative to the elements: -0.51 eV per atom
V: 161 Å³ per cell
Electronic total energy: -23.88 eV/f.u.

No. 9
Here is La3MgO after structural relaxation from Alexandria via LeMat-Bulk. Energies are from PBE.

a = 6.751 Å, b = 6.751 Å, c = 6.751 Å
α = 94.56°, β = 94.56°, γ = 94.56°
Fractional positions:
Mg 0.000 0.000 0.000
O 0.750 0.750 0.750
La 0.480 0.250 0.020
Mg 0.500 0.500 0.500
La 0.520 0.750 0.980
O 0.250 0.250 0.250
La 0.980 0.520 0.750
La 0.020 0.480 0.250
La 0.250 0.020 0.480
La 0.750 0.980 0.520

Output
V: 305 Å³ per cell
Electronic total energy: -26.00 eV/f.u.
Formation energy (no corrections): -0.9320 eV/atom

Q: Which formula does entry 6 have?
A: ZrCrCl2

Q: Which formula does entry 5 have?
A: K2YBeB